1.
Here is NaP2SeS8 after structural relaxation from Alexandria. Energies are from PBE-GGA.

Cell lengths 5.9103, 5.9103, 27.7264 Å; angles 90.00, 90.00, 120.00 degrees
Space group R-3 (No. 148, hexagonal axes)
Asymmetric unit:
Na  0.0000  0.0000  0.0000 (multiplicity 3)
P  0.0000  0.0000  0.2441 (multiplicity 6)
Se  0.0000  0.0000  0.5000 (multiplicity 3)
S  0.0000  0.0000  0.3163 (multiplicity 6)
S  0.0028  0.3231  0.8904 (multiplicity 18)

Computed properties:
E_form (uncorrected), eV per atom: -0.04
Spin magnetization, Bohr magnetons per cell: 0.00

---

2.
Here is NaPSeS2 after structural relaxation from Alexandria. Energies are from PBE-GGA.

Cell lengths 4.804, 4.804, 5.158 Å; angles 90.00, 90.00, 90.00 degrees
Space group P4/mmm (No. 123)
Asymmetric unit:
Na  0.000  0.000  0.000 (multiplicity 1)
P  0.000  0.000  0.500 (multiplicity 1)
Se  0.500  0.500  0.500 (multiplicity 1)
S  0.000  0.500  0.000 (multiplicity 2)

Computed properties:
E_form (uncorrected), eV per atom: 1.32
Spin magnetization, Bohr magnetons per cell: 2.30
ΔE to the lowest computed polymorph, meV per atom: 933

---

3.
Here is NaP2SeS after structural relaxation from Alexandria. Energies are from PBE-GGA.

Cell lengths 4.981, 4.981, 4.657 Å; angles 90.00, 90.00, 90.00 degrees
Space group P4/mmm (No. 123)
Asymmetric unit:
Na  0.000  0.000  0.000 (multiplicity 1)
P  0.000  0.500  0.000 (multiplicity 2)
Se  0.500  0.500  0.500 (multiplicity 1)
S  0.000  0.000  0.500 (multiplicity 1)

Computed properties:
E_form (uncorrected), eV per atom: 1.47
Spin magnetization, Bohr magnetons per cell: 0.69
ΔE to the lowest computed polymorph, meV per atom: 853